No. 1
Below is crystalline Th2NpPd at its relaxed geometry, with properties calculated at the GGA-PBE level.

Results
Crystal system: tetragonal
Total energy, eV/atom: -8.3196
Symmetry: P4/mmm
ΔH_f (0 K), eV/atom: -0.08

a b c (Å): 3.653 3.653 7.728
angles (deg): 90.00 90.00 90.00
Positions (direct):
1 Th 0.000 0.000 0.231
2 Th 0.000 0.000 0.769
3 Np 0.500 0.500 0.500
4 Pd 0.500 0.500 0.000



No. 2
Below is crystalline LaTiP2Rh5 at its relaxed geometry, with properties calculated at the GGA-PBE level.

Results
Crystal system: tetragonal
Total energy, eV/atom: -7.5140
Symmetry: P4/mmm
ΔH_f (0 K), eV/atom: -0.80

a b c (Å): 4.063 4.063 9.904
angles (deg): 90.00 90.00 90.00
Positions (direct):
1 La 0.000 0.000 0.000
2 Ti 0.000 0.000 0.500
3 P 0.500 0.500 0.231
4 P 0.500 0.500 0.769
5 Rh 0.000 0.500 0.337
6 Rh 0.000 0.500 0.663
7 Rh 0.500 0.000 0.337
8 Rh 0.500 0.000 0.663
9 Rh 0.500 0.500 0.000



No. 3
Below is crystalline CdSbMo2 at its relaxed geometry, with properties calculated at the GGA-PBE level.

Results
Relative energy among the computed polymorphs, kJ/mol of atoms: 29.20
Crystal system: monoclinic
Energy relative to the elements, uncorrected, meV per atom: 535
Total energy, eV/atom: -6.1400
Symmetry: P2/m

a b c (Å): 2.965 4.607 5.557
angles (deg): 90.00 96.62 90.00
Positions (direct):
1 Cd 0.000 0.000 0.000
2 Sb 0.500 0.000 0.500
3 Mo 0.333 0.500 0.771
4 Mo 0.667 0.500 0.229



No. 4
Below is crystalline RbMgZn2Co at its relaxed geometry, with properties calculated at the GGA-PBE level.

Results
Crystal system: tetragonal
Total energy, eV/atom: -0.9030
Symmetry: P4/mmm
ΔH_f (0 K), eV/atom: 1.54

a b c (Å): 6.591 6.591 7.036
angles (deg): 90.00 90.00 90.00
Positions (direct):
1 Rb 0.000 0.000 0.000
2 Mg 0.000 0.000 0.500
3 Zn 0.000 0.500 0.000
4 Zn 0.500 0.000 0.000
5 Co 0.500 0.500 0.500



Copy entry 2 word for word.
Below is crystalline LaTiP2Rh5 at its relaxed geometry, with properties calculated at the GGA-PBE level.

Results
Crystal system: tetragonal
Total energy, eV/atom: -7.5140
Symmetry: P4/mmm
ΔH_f (0 K), eV/atom: -0.80

a b c (Å): 4.063 4.063 9.904
angles (deg): 90.00 90.00 90.00
Positions (direct):
1 La 0.000 0.000 0.000
2 Ti 0.000 0.000 0.500
3 P 0.500 0.500 0.231
4 P 0.500 0.500 0.769
5 Rh 0.000 0.500 0.337
6 Rh 0.000 0.500 0.663
7 Rh 0.500 0.000 0.337
8 Rh 0.500 0.000 0.663
9 Rh 0.500 0.500 0.000